Density functional theory data (PBE-GGA) for Pm5Er4Hg4 after structural relaxation.

a = 12.1824 Å, b = 12.1824 Å, c = 5.1507 Å
α = 90.00°, β = 90.00°, γ = 90.00°
Closest atoms and distances in Å follow each position.
Space group I4/m (No. 87)
Asymmetric unit:
Pm 0.0000 0.0000 0.0000  4 Hg 3.16
Pm 0.1193 0.8143 0.5000  3 Hg 3.19
Er 0.0975 0.6022 0.0000  3 Hg 2.98-3.23
Hg 0.0917 0.2428 0.0000  3 Er 2.98-3.23, 4 Pm 3.16-3.19

- Crystal system: tetragonal
- VASP energy: -3.64 eV per atom
- Density of states at the Fermi level: 20.5 states/eV/cell
- Calculated formation energy: -0.3164 eV per atom
- Calculated volume: 29.40 Å³ per atom